Compound: Li2AcHg2
Source: Alexandria
Functional: PBE
Structure: relaxed Values from VASP.

Results
ΔH_f (0 K) = -372 meV per atom

Cell and atoms, written as Quantum ESPRESSO input:
```
&SYSTEM
  ibrav = 0, nat = 10, ntyp = 3
/
ATOMIC_SPECIES
Li 6.94 Li.upf
Ac 227.00 Ac.upf
Hg 200.59 Hg.upf
CELL_PARAMETERS angstrom
4.252 0.000 0.000
0.000 4.252 0.000
0.000 0.000 14.042
ATOMIC_POSITIONS crystal
Li 0.000 0.500 0.250
Li 0.000 0.500 0.750
Li 0.500 0.000 0.250
Li 0.500 0.000 0.750
Ac 0.000 0.000 0.000
Ac 0.500 0.500 0.500
Hg 0.000 0.000 0.381
Hg 0.000 0.000 0.619
Hg 0.500 0.500 0.119
Hg 0.500 0.500 0.881
```